First-principles (PBE) data for a geometry-optimized PmGdLuPu structure, as listed in the Alexandria database.

The structure in POSCAR format:
```
PmGdLuPu
1.0
-4.277 2.876 -2.207
-1.457 -0.810 -5.353
-4.801 -2.621 -1.233
Pm Pu Gd Lu
1 1 1 1
Direct
0.000 0.000 0.000 Pm
0.250 0.250 0.250 Pu
0.750 0.750 0.750 Gd
0.500 0.500 0.500 Lu
```

Output
The crystal system is cubic. Its space group is F-43m (216). As for the formation energy: 0.217 eV per atom.

---

First-principles (PBE) data for a geometry-optimized Na3Pm3PuSe8 structure, as listed in the Alexandria database.

The structure in POSCAR format:
```
Na3Pm3PuSe8
1.0
8.476 0.000 0.000
-4.238 7.340 -0.027
0.000 -4.870 7.045
Na Pm Se Pu
3 3 8 1
Direct
0.000 0.000 0.000 Na
0.000 0.500 0.000 Na
0.500 0.500 0.000 Na
0.500 0.500 0.500 Pm
0.000 0.500 0.500 Pm
0.500 0.000 0.500 Pm
0.255 0.510 0.265 Se
0.247 0.010 0.274 Se
0.763 0.010 0.274 Se
0.753 0.990 0.726 Se
0.237 0.990 0.726 Se
0.745 0.490 0.735 Se
0.237 0.473 0.726 Se
0.763 0.527 0.274 Se
0.000 0.000 0.500 Pu
```

Output
The crystal system is trigonal. Its space group is R-3m (166). The calculation puts the formation energy without anion corrections at -1.580 eV/atom.

---

First-principles (PBE) data for a geometry-optimized LaMn structure, as listed in the Alexandria database.

The structure in POSCAR format:
```
LaMn
1.0
7.887 0.000 0.000
0.000 7.887 0.000
0.000 0.000 7.887
La Mn
6 6
Direct
0.500 0.000 0.750 La
0.000 0.250 0.500 La
0.750 0.500 0.000 La
0.500 0.000 0.250 La
0.000 0.750 0.500 La
0.250 0.500 0.000 La
0.000 0.500 0.250 Mn
0.000 0.500 0.750 Mn
0.250 0.000 0.500 Mn
0.750 0.000 0.500 Mn
0.500 0.250 0.000 Mn
0.500 0.750 0.000 Mn
```

Output
The crystal system is cubic. Its space group is Pm-3n (223). As for the formation energy: 1.441 eV per atom.

---

First-principles (PBE) data for a geometry-optimized KInPb structure, as listed in the Alexandria database.

The structure in POSCAR format:
```
KInPb
1.0
8.959 -0.007 0.009
-2.982 6.782 0.007
-3.635 -4.781 7.138
K Pb In
4 4 4
Direct
0.262 0.681 0.555 K
0.876 0.377 0.007 K
0.679 0.215 0.415 K
0.831 0.823 0.741 K
0.430 0.293 0.647 Pb
0.385 0.559 0.207 Pb
0.436 0.218 0.971 Pb
0.864 0.772 0.363 Pb
0.110 0.051 0.221 In
0.127 0.296 0.727 In
0.618 0.794 0.018 In
0.218 0.759 0.965 In
```

Output
The crystal system is triclinic. Its space group is P1 (1). As for the formation energy: -0.095 eV per atom.

---

First-principles (PBE) data for a geometry-optimized La4TbHg5 structure, as listed in the Alexandria database.

The structure in POSCAR format:
```
La4TbHg5
1.0
-1.284 2.754 2.390
-3.117 0.486 -2.234
-9.526 -13.438 10.369
Hg La Tb
5 4 1
Direct
0.500 0.500 0.089 Hg
0.500 0.500 0.703 Hg
0.500 0.500 0.297 Hg
0.500 0.500 0.911 Hg
0.500 0.500 0.500 Hg
0.000 0.000 0.806 La
0.000 0.000 0.194 La
0.000 0.000 0.398 La
0.000 0.000 0.602 La
0.000 0.000 0.000 Tb
```

Output
The crystal system is tetragonal. Its space group is P4/mmm (123). As for the formation energy: -0.494 eV per atom.

---

First-principles (PBE) data for a geometry-optimized GaCu3Pd5 structure, as listed in the Alexandria database.

The structure in POSCAR format:
```
GaCu3Pd5
1.0
5.549 -0.412 -0.531
1.122 5.450 -0.531
1.607 1.213 9.345
Pd Cu Ga
10 6 2
Direct
0.613 0.021 0.669 Pd
0.021 0.613 0.669 Pd
0.387 0.979 0.331 Pd
0.541 0.541 0.691 Pd
0.322 0.678 0.000 Pd
0.727 0.727 0.148 Pd
0.678 0.322 0.000 Pd
0.979 0.387 0.331 Pd
0.459 0.459 0.309 Pd
0.273 0.273 0.852 Pd
0.746 0.746 0.885 Cu
0.714 0.714 0.459 Cu
0.000 0.000 0.500 Cu
0.254 0.254 0.115 Cu
0.286 0.286 0.541 Cu
0.000 0.000 0.000 Cu
0.969 0.969 0.255 Ga
0.031 0.031 0.745 Ga
```

Output
The crystal system is monoclinic. Its space group is C2/m (12). As for the formation energy: 0.110 eV per atom.

---

First-principles (PBE) data for a geometry-optimized NdHfBi structure, as listed in the Alexandria database.

The structure in POSCAR format:
```
NdHfBi
1.0
4.426 0.000 0.000
0.000 4.426 0.000
0.000 0.000 8.577
Hf Bi Nd
2 2 2
Direct
0.000 0.000 0.500 Hf
0.500 0.500 0.500 Hf
0.500 0.000 0.758 Bi
0.000 0.500 0.242 Bi
0.000 0.500 0.850 Nd
0.500 0.000 0.150 Nd
```

Output
The crystal system is tetragonal. Its space group is P4/nmm (129). As for the formation energy: -0.478 eV per atom.

---

First-principles (PBE) data for a geometry-optimized Tc2TeO structure, as listed in the Alexandria database.

The structure in POSCAR format:
```
Tc2TeO
1.0
0.000 3.077 3.077
3.077 0.000 3.077
3.077 3.077 0.000
O Tc Te
1 2 1
Direct
0.000 0.000 0.000 O
0.250 0.250 0.250 Tc
0.750 0.750 0.750 Tc
0.500 0.500 0.500 Te
```

Output
The crystal system is cubic. Its space group is Fm-3m (225). The calculation puts the formation energy without anion corrections at 0.392 eV/atom.

---

First-principles (PBE) data for a geometry-optimized Cu3Br structure, as listed in the Alexandria database.

The structure in POSCAR format:
```
Cu3Br
1.0
3.229 0.005 0.000
-0.008 3.229 0.000
0.000 0.000 5.985
Cu Br
3 1
Direct
0.500 0.500 0.701 Cu
0.000 0.000 0.500 Cu
0.500 0.500 0.299 Cu
0.000 0.000 0.000 Br
```

Output
The crystal system is tetragonal. Its space group is P4/mmm (123). The calculation puts the formation energy without anion corrections at 0.230 eV/atom.

---

First-principles (PBE) data for a geometry-optimized PuPb2F8 structure, as listed in the Alexandria database.

The structure in POSCAR format:
```
PuPb2F8
1.0
4.089 0.000 0.000
0.000 5.881 -0.014
-2.044 -2.537 6.951
F Pb Pu
8 2 1
Direct
0.588 0.388 0.176 F
0.643 0.955 0.286 F
0.357 0.045 0.714 F
0.778 0.687 0.556 F
0.019 0.814 0.038 F
0.981 0.186 0.962 F
0.412 0.612 0.824 F
0.222 0.313 0.444 F
0.822 0.333 0.644 Pb
0.178 0.667 0.356 Pb
0.500 0.000 0.000 Pu
```

Output
The crystal system is monoclinic. Its space group is C2/m (12). The calculation puts the formation energy without anion corrections at -2.864 eV/atom.

---

| no. | calculated total energy (Ry per atom) |
| --- | --- |
| 1 | -0.676 |
| 2 | -0.412 |
| 3 | -0.412 |
| 4 | -0.192 |
| 5 | -0.226 |
| 6 | -0.329 |
| 7 | -0.491 |
| 8 | -0.501 |
| 9 | -0.240 |
| 10 | -0.456 |